(1)
{"formula": "LaMo2Os2", "functional": "PBEsol", "state": "optimized geometry", "lattice": [[-0.7209, 3.7720, -2.0520], [-2.8735, -1.9699, -2.6116], [-1.9866, 0.1921, 5.6705]], "species": ["Mo", "Mo", "Os", "Os", "La"], "frac_coords": [[0.2500, 0.7500, 0.5000], [0.7500, 0.2500, 0.5000], [0.6282, 0.6282, 0.2565], [0.3718, 0.3718, 0.7435], [0.0000, 0.0000, 0.0000]], "e_form_ev_per_atom": 0.03, "n_ef_per_ev_cell": 3.51, "magnetic_moment_mub_per_fu": 0.00, "space_group": "I4/mmm (139)"}

=====

(2)
{"formula": "La2MoOs", "functional": "PBEsol", "state": "optimized geometry", "lattice": [[3.0936, -0.0072, -0.0117], [-1.2695, 5.4520, -0.0406], [-1.2695, -2.5192, 4.8352]], "species": ["Os", "Mo", "La", "La"], "frac_coords": [[0.5000, 0.5000, 0.5000], [0.5000, 0.0000, 0.0000], [0.0000, 0.0000, 0.5000], [0.0000, 0.5000, 0.0000]], "e_form_ev_per_atom": 0.57, "n_ef_per_ev_cell": 4.25, "magnetic_moment_mub_per_fu": 0.00, "de_polymorph_ev_per_atom": 0.000, "space_group": "C2/m (12)"}

=====

(3)
{"formula": "LaMoOs2", "functional": "PBEsol", "state": "optimized geometry", "lattice": [[2.8228, 0.0045, 0.0075], [-0.9993, 5.2686, -0.0459], [-0.9993, -2.5408, 4.6156]], "species": ["Mo", "La", "Os", "Os"], "frac_coords": [[0.5000, 0.5000, 0.5000], [0.5000, 0.0000, 0.0000], [0.0000, 0.5000, 0.0000], [0.0000, 0.0000, 0.5000]], "e_form_ev_per_atom": 0.68, "n_ef_per_ev_cell": 4.90, "magnetic_moment_mub_per_fu": 0.00, "de_polymorph_ev_per_atom": 0.189, "space_group": "C2/m (12)"}